[1]
The following is a PBE-GGA calculation of TmIn2Rh after structural relaxation, from Alexandria via LeMat-Bulk.

Results
* N(E_F): 0.904 states/eV/atom
* energy relative to the elements: -0.39 eV per atom

```
TmIn2Rh
1.0
3.361 0.000 0.000
0.000 3.361 0.000
0.000 0.000 7.440
In Rh Tm
2 1 1
Cartesian
0.000 0.000 1.534
0.000 0.000 5.907
1.681 1.681 0.000
1.681 1.681 3.720
```

[2]
The following is a PBE-GGA calculation of LaPr2Dy2 after structural relaxation, from Alexandria via LeMat-Bulk.

Results
* N(E_F): 1.656 states/eV/atom
* E above lowest polymorph: 32 meV/atom
* energy relative to the elements: 0.13 eV per atom

```
LaPr2Dy2
1.0
0.713 -3.762 -4.499
-1.757 -5.471 4.296
-7.460 5.565 -1.956
Pr La Dy
4 2 4
Cartesian
-0.850 -4.091 -2.532
-1.720 -6.799 -0.406
-7.655 0.423 0.373
-6.785 3.131 -1.753
-2.080 -0.672 -1.707
-6.426 -2.996 -0.452
-4.183 1.416 0.093
-2.862 -3.419 0.466
-5.643 -0.249 -2.625
-4.322 -5.084 -2.252
```

[3]
The following is a PBE-GGA calculation of Y2Zn5Pt5 after structural relaxation, from Alexandria via LeMat-Bulk.

Results
* N(E_F): 0.385 states/eV/atom
* energy relative to the elements: -0.76 eV per atom

```
Y2Zn5Pt5
1.0
4.359 0.000 0.000
0.000 5.250 0.000
0.000 0.000 9.243
Pt Zn Y
5 5 2
Cartesian
0.000 2.625 3.079
0.000 0.000 7.597
0.000 0.000 1.646
2.179 0.000 0.000
0.000 2.625 6.164
2.179 1.308 2.316
2.179 3.942 6.927
2.179 1.308 6.927
2.179 2.625 4.622
2.179 3.942 2.316
0.000 2.625 0.000
0.000 0.000 4.622
```

[4]
The following is a PBE-GGA calculation of Th12Tl6Os after structural relaxation, from Alexandria via LeMat-Bulk.

Results
* N(E_F): 1.054 states/eV/atom
* energy relative to the elements: 0.06 eV per atom

```
Th12Tl6Os
1.0
-8.342 0.872 0.338
-0.216 -8.390 -0.154
1.055 0.483 8.313
Th Tl Os
12 6 1
Cartesian
-1.163 -3.325 4.548
-3.651 -4.106 1.705
-6.524 -4.305 8.389
-7.712 -6.283 5.702
0.209 -0.751 2.796
-2.704 0.224 1.031
-3.368 -6.076 4.616
-3.853 -2.929 6.793
-6.341 -3.709 3.950
-4.136 -0.959 3.882
-0.980 -2.730 0.109
-4.799 -7.258 7.467
-6.579 -1.149 6.004
-0.924 -5.886 2.494
-1.461 -5.151 7.210
-1.827 -0.474 6.177
-5.677 -6.561 2.320
-6.043 -1.884 1.287
0.000 0.000 0.000
```

Repeat the second record exactly.
The following is a PBE-GGA calculation of LaPr2Dy2 after structural relaxation, from Alexandria via LeMat-Bulk.

Results
* N(E_F): 1.656 states/eV/atom
* E above lowest polymorph: 32 meV/atom
* energy relative to the elements: 0.13 eV per atom

```
LaPr2Dy2
1.0
0.713 -3.762 -4.499
-1.757 -5.471 4.296
-7.460 5.565 -1.956
Pr La Dy
4 2 4
Cartesian
-0.850 -4.091 -2.532
-1.720 -6.799 -0.406
-7.655 0.423 0.373
-6.785 3.131 -1.753
-2.080 -0.672 -1.707
-6.426 -2.996 -0.452
-4.183 1.416 0.093
-2.862 -3.419 0.466
-5.643 -0.249 -2.625
-4.322 -5.084 -2.252
```